The following is a DFT calculation (PBE-GGA) of a geometry-optimized GeMo2H2 structure.

energy above the lowest structure with this stoichiometry	205.5	meV/atom
E	-6.245	eV/atom

Unit cell a=3.855 b=3.855 c=7.792 alpha=90.00 beta=90.00 gamma=90.00
Fractional positions:
Ge 0.000 0.000 0.000
Ge 0.500 0.500 0.500
Mo 0.000 0.500 0.250
Mo 0.000 0.500 0.750
Mo 0.500 0.000 0.250
Mo 0.500 0.000 0.750
H 0.000 0.000 0.337
H 0.000 0.000 0.663
H 0.500 0.500 0.163
H 0.500 0.500 0.837



The following is a DFT calculation (PBE-GGA) of a geometry-optimized Zr2CrRu structure.

E	-8.898	eV/atom
E_form	0.1013	eV/atom

Unit cell a=3.148 b=4.327 c=5.410 alpha=90.00 beta=90.00 gamma=90.00
Fractional positions:
Zr 0.000 0.000 0.000
Zr 0.500 0.500 0.341
Cr 0.000 0.000 0.514
Ru 0.500 0.500 0.834



The following is a DFT calculation (PBE-GGA) of a geometry-optimized Na3Dy2NpS6 structure.

formation energy without anion corrections	-1.666	eV per atom
E	-5.905	eV/atom

Unit cell a=6.939 b=6.939 c=7.068 alpha=99.41 beta=99.41 gamma=119.97
Fractional positions:
Na 0.000 0.000 0.000
Na 0.332 0.668 0.000
Na 0.668 0.332 0.000
Dy 0.166 0.834 0.500
Dy 0.834 0.166 0.500
Np 0.500 0.500 0.500
S 0.088 0.424 0.273
S 0.240 0.240 0.728
S 0.424 0.088 0.273
S 0.576 0.912 0.727
S 0.760 0.760 0.272
S 0.912 0.576 0.727



The following is a DFT calculation (PBE-GGA) of a geometry-optimized Mg2TePd5 structure.

formation energy without anion corrections	-0.560	eV per atom
E	-4.596	eV/atom

Unit cell a=5.664 b=11.185 c=4.200 alpha=90.00 beta=90.00 gamma=90.00
Fractional positions:
Mg 0.179 0.143 0.000
Mg 0.321 0.643 0.000
Mg 0.679 0.357 0.000
Mg 0.821 0.857 0.000
Te 0.000 0.500 0.500
Te 0.500 0.000 0.500
Pd 0.000 0.000 0.500
Pd 0.064 0.746 0.500
Pd 0.206 0.385 0.000
Pd 0.294 0.885 0.000
Pd 0.436 0.246 0.500
Pd 0.500 0.500 0.500
Pd 0.564 0.754 0.500
Pd 0.706 0.115 0.000
Pd 0.794 0.615 0.000
Pd 0.936 0.254 0.500



The following is a DFT calculation (PBE-GGA) of a geometry-optimized Ta20Pd9S50 structure.

formation energy without anion corrections	-0.899	eV per atom
E	-7.103	eV/atom

Unit cell a=10.395 b=10.395 c=15.659 alpha=100.40 beta=100.40 gamma=105.07
Fractional positions:
Ta 0.045 0.246 0.377
Ta 0.071 0.071 0.183
Ta 0.129 0.730 0.818
Ta 0.152 0.553 0.623
Ta 0.246 0.045 0.377
Ta 0.270 0.871 0.182
Ta 0.328 0.530 0.817
Ta 0.352 0.352 0.622
Ta 0.447 0.848 0.377
Ta 0.470 0.672 0.183
Ta 0.530 0.328 0.817
Ta 0.553 0.152 0.623
Ta 0.648 0.648 0.378
Ta 0.672 0.470 0.183
Ta 0.730 0.129 0.818
Ta 0.754 0.955 0.623
Ta 0.848 0.447 0.377
Ta 0.871 0.270 0.182
Ta 0.929 0.929 0.817
Ta 0.955 0.754 0.623
Pd 0.100 0.900 0.000
Pd 0.100 0.900 0.500
Pd 0.300 0.700 0.000
Pd 0.305 0.695 0.500
Pd 0.500 0.500 0.000
Pd 0.695 0.305 0.500
Pd 0.700 0.300 0.000
Pd 0.900 0.100 0.000
Pd 0.900 0.100 0.500
S 0.004 0.004 0.688
S 0.022 0.823 0.119
S 0.044 0.443 0.308
S 0.057 0.652 0.495
S 0.069 0.269 0.116
S 0.131 0.531 0.884
S 0.148 0.148 0.504
S 0.155 0.355 0.691
S 0.177 0.978 0.881
S 0.197 0.796 0.311
S 0.204 0.803 0.689
S 0.223 0.623 0.120
S 0.244 0.244 0.309
S 0.248 0.448 0.497
S 0.269 0.069 0.116
S 0.332 0.332 0.883
S 0.348 0.943 0.505
S 0.355 0.155 0.691
S 0.377 0.777 0.880
S 0.399 0.597 0.314
S 0.403 0.601 0.686
S 0.424 0.424 0.120
S 0.443 0.044 0.308
S 0.448 0.248 0.497
S 0.469 0.869 0.116
S 0.531 0.131 0.884
S 0.552 0.752 0.503
S 0.557 0.956 0.692
S 0.576 0.576 0.880
S 0.597 0.399 0.314
S 0.601 0.403 0.686
S 0.623 0.223 0.120
S 0.645 0.845 0.309
S 0.652 0.057 0.495
S 0.668 0.668 0.117
S 0.731 0.931 0.884
S 0.752 0.552 0.503
S 0.756 0.756 0.691
S 0.777 0.377 0.880
S 0.796 0.197 0.311
S 0.803 0.204 0.689
S 0.823 0.022 0.119
S 0.845 0.645 0.309
S 0.852 0.852 0.496
S 0.869 0.469 0.116
S 0.931 0.731 0.884
S 0.943 0.348 0.505
S 0.956 0.557 0.692
S 0.978 0.177 0.881
S 0.996 0.996 0.312



The following is a DFT calculation (PBE-GGA) of a geometry-optimized BaZnAgAs2 structure.

E	-3.591	eV/atom
E_form	-0.5212	eV/atom

Unit cell a=4.352 b=4.352 c=12.568 alpha=90.00 beta=90.00 gamma=90.00
Fractional positions:
Ba 0.000 0.000 0.000
Ba 0.500 0.500 0.500
Zn 0.000 0.500 0.250
Zn 0.500 0.000 0.750
Ag 0.000 0.500 0.750
Ag 0.500 0.000 0.250
As 0.000 0.000 0.374
As 0.000 0.000 0.626
As 0.500 0.500 0.126
As 0.500 0.500 0.874



The following is a DFT calculation (PBE-GGA) of a geometry-optimized GdHPd structure.

energy above the lowest structure with this stoichiometry	0.0	meV/atom
E	-8.082	eV/atom

Unit cell a=6.558 b=6.209 c=7.909 alpha=53.73 beta=49.76 gamma=76.50
Fractional positions:
Gd 0.117 0.883 0.294
Gd 0.544 0.956 0.367
Gd 0.883 0.117 0.706
Gd 0.956 0.544 0.133
H 0.087 0.768 0.657
H 0.593 0.762 0.163
H 0.762 0.593 0.482
H 0.768 0.087 0.488
Pd 0.051 0.391 0.817
Pd 0.391 0.051 0.742
Pd 0.433 0.508 0.199
Pd 0.508 0.433 0.859



The following is a DFT calculation (PBE-GGA) of a geometry-optimized Tb2Pm3Dy3 structure.

energy above the lowest structure with this stoichiometry	4.5	meV/atom
E	-4.643	eV/atom
E_form	0.0221	eV/atom

Unit cell a=5.742 b=14.604 c=6.305 alpha=90.00 beta=90.05 gamma=90.00
Fractional positions:
Tb 0.250 0.124 0.167
Tb 0.250 0.376 0.167
Tb 0.750 0.624 0.833
Tb 0.750 0.876 0.833
Pm 0.250 0.250 0.665
Pm 0.250 0.624 0.168
Pm 0.250 0.876 0.168
Pm 0.750 0.124 0.832
Pm 0.750 0.376 0.832
Pm 0.750 0.750 0.335
Dy 0.250 0.501 0.667
Dy 0.250 0.750 0.669
Dy 0.250 0.999 0.667
Dy 0.750 0.001 0.333
Dy 0.750 0.250 0.331
Dy 0.750 0.499 0.333



The following is a DFT calculation (PBE-GGA) of a geometry-optimized InGaSnF6 structure.

formation energy without anion corrections	-2.300	eV per atom
E	-4.633	eV/atom

Unit cell a=5.371 b=5.821 c=5.832 alpha=60.13 beta=89.97 gamma=89.90
Fractional positions:
In 0.000 0.000 0.000
Ga 0.466 0.667 0.667
Sn 0.534 0.334 0.333
F 0.265 0.549 0.464
F 0.266 0.466 0.987
F 0.266 0.989 0.549
F 0.659 0.357 0.757
F 0.659 0.884 0.357
F 0.661 0.759 0.883



The following is a DFT calculation (PBE-GGA) of a geometry-optimized LiCeIn2Au4 structure.

E	-3.807	eV/atom
E_form	-0.5031	eV/atom

Unit cell a=8.930 b=8.930 c=8.930 alpha=30.92 beta=30.92 gamma=30.92
Fractional positions:
Li 0.000 0.000 0.000
Ce 0.500 0.500 0.500
In 0.256 0.256 0.256
In 0.744 0.744 0.744
Au 0.109 0.109 0.109
Au 0.369 0.369 0.369
Au 0.631 0.631 0.631
Au 0.891 0.891 0.891



The following is a DFT calculation (PBE-GGA) of a geometry-optimized ZnTc2Te structure.

energy above the lowest structure with this stoichiometry	390.1	meV/atom
formation energy without anion corrections	0.568	eV per atom
E	-5.719	eV/atom

Unit cell a=3.355 b=4.235 c=4.691 alpha=90.00 beta=90.00 gamma=90.00
Fractional positions:
Zn 0.000 0.000 0.000
Tc 0.000 0.500 0.500
Tc 0.500 0.500 0.000
Te 0.500 0.000 0.500



The following is a DFT calculation (PBE-GGA) of a geometry-optimized GaH2I5 structure.

E	-2.393	eV/atom

Unit cell a=4.273 b=17.324 c=10.026 alpha=90.00 beta=100.60 gamma=90.00
Fractional positions:
Ga 0.215 0.250 0.138
Ga 0.785 0.750 0.862
H 0.111 0.124 0.521
H 0.111 0.376 0.521
H 0.889 0.624 0.479
H 0.889 0.876 0.479
I 0.042 0.607 0.343
I 0.042 0.893 0.343
I 0.269 0.122 0.260
I 0.269 0.378 0.260
I 0.361 0.750 0.038
I 0.639 0.250 0.962
I 0.731 0.622 0.740
I 0.731 0.878 0.740
I 0.958 0.107 0.657
I 0.958 0.393 0.657